[1]
Below is Sm2AlPt after structural relaxation, with properties calculated at the GGA-PBE level.

Cell and atoms, written as POSCAR:
```
Sm2AlPt
1.0
-2.8954 -2.6349 -3.3371
-3.1835 -3.6685 1.6939
-5.0881 0.7449 -0.1383
Sm Al Pt
2 1 1
Cartesian
-8.3753 -4.1689 -1.3361
-2.7918 -1.3896 -0.4454
0.0000 0.0000 0.0000
-5.5835 -2.7793 -0.8908
```

Excess energy over the best structure of this formula in the dataset: 84 meV per atom
SG: Fm-3m (225)

[2]
Below is Sm2Al3Pt9 after structural relaxation, with properties calculated at the GGA-PBE level.

Cell and atoms, written as POSCAR:
```
Sm2Al3Pt9
1.0
2.0259 3.6937 -6.4766
0.3651 -7.7093 0.3561
-10.2711 -0.4766 1.1449
Pt Sm Al
18 4 6
Cartesian
-4.6701 0.3068 -2.8329
-0.0536 -4.6082 -1.0518
-5.2722 -3.5377 -0.5859
-3.2100 -4.7991 -2.1428
-3.7862 -3.6547 -4.7161
-1.4428 1.2688 -3.2220
-2.6079 -0.9545 -4.3898
0.4581 -0.7502 -3.3261
1.0800 3.0610 -5.6239
-8.9601 -7.5533 0.6482
-6.1015 -3.3185 -3.2249
-7.8265 0.1160 -3.9238
-2.0206 -6.3603 -0.1465
-6.4373 -5.7610 -1.7536
-4.0939 -0.8375 -0.2595
-1.7786 -1.1737 -1.7507
-8.3382 -3.7420 -1.6495
-5.8596 1.8681 -4.8291
-0.9470 -3.4797 -3.7447
-5.4709 -1.1971 -5.3832
-2.4092 -3.2951 0.4076
-6.9331 -1.0126 -1.2309
-4.5376 -6.0364 -0.0881
0.4876 -2.0648 -1.0235
-3.3425 1.5442 -4.8875
1.0129 1.8468 -3.2383
-3.9401 -2.2461 -2.4878
-8.3677 -2.4275 -3.9521
```

SG: C2/c (15)

[3]
Below is Sm2Al12Pt7 after structural relaxation, with properties calculated at the GGA-PBE level.

Cell and atoms, written as POSCAR:
```
Sm2Al12Pt7
1.0
-1.2393 3.3263 2.2153
-6.3488 2.4852 -7.2832
-2.9792 -6.0217 7.3750
Al Sm Pt
12 2 7
Cartesian
-3.9855 0.7515 0.5935
-8.3287 0.2576 -1.0945
-5.2215 2.9289 -3.3673
-5.8320 -4.6025 3.6481
-4.6850 -1.9822 0.3553
-6.3975 1.1050 -5.2381
-1.7902 -2.9736 3.4635
-3.2634 -0.5581 2.9639
-6.3294 -1.4989 2.6613
-7.2630 -2.3443 -0.5431
-2.0164 0.1878 -1.4100
-4.5734 -2.5119 5.1647
-0.6196 1.6631 1.1077
-5.2256 -0.3505 -2.3971
-2.8838 -4.5203 5.1741
-3.6353 2.2172 -1.4114
-2.2514 -1.2715 0.6497
-6.4515 -0.1216 0.5250
-7.1721 -3.7664 1.6431
-4.1024 -3.1861 2.4890
-7.4489 1.8424 -2.9820
```

SG: P-6 (174)

no.,formation enthalpy at 0 K (meV per atom),total magnetization (μB per atom)
1,-642,0.0000
2,-1028,0.0000
3,-1006,0.0000